An optimized crystal structure of InTe2PI. Source: Alexandria via LeMat-Bulk, functional PBE.

POSCAR file:
```
InTe2PI
1.0
5.385 0.000 0.000
0.000 5.385 0.000
0.000 0.000 5.554
In Te P I
1 2 1 1
Direct
0.000 0.000 0.000
0.000 0.500 0.500
0.500 0.000 0.500
0.500 0.500 0.500
0.500 0.500 0.000
```

- N(E_F): 6.85 states/eV/f.u.
- VASP energy: -2.97 eV/atom
- Total magnetization: 0.00 μB per atom
- Excess energy over the best structure of this formula in the dataset: 0 meV/atom



An optimized crystal structure of LaY7Er2. Source: Alexandria via LeMat-Bulk, functional PBE.

POSCAR file:
```
LaY7Er2
1.0
4.427 -7.935 0.000
4.427 7.935 0.000
0.000 0.000 5.711
La Y Er
1 7 2
Direct
0.000 0.000 0.000
0.059 0.297 0.500
0.227 0.773 0.000
0.297 0.059 0.500
0.500 0.500 0.500
0.703 0.941 0.500
0.773 0.227 0.000
0.941 0.703 0.500
0.297 0.703 0.500
0.703 0.297 0.500
```

- N(E_F): 13.64 states/eV/f.u.
- VASP energy: -5.24 eV/atom
- Total magnetization: 0.00 μB per atom
- ΔH_f (0 K): 0.6855 eV/atom
- Excess energy over the best structure of this formula in the dataset: 646 meV/atom